Record 1
A geometry-optimized MgZn2H structure, computed with PBE.

abc: 4.4568 4.4568 4.4568
angles: 60.00 60.00 60.00
With the nearest neighbours (Å) after each atom.
Fractional coordinates of all 4 atoms:
Mg1 0.5000 0.5000 0.5000  8 Zn 2.73
H1 0.0000 0.0000 0.0000  8 Zn 2.73
Zn1 0.7500 0.7500 0.7500  4 H 2.73, 4 Mg 2.73
Zn2 0.2500 0.2500 0.2500  4 Mg 2.73, 4 H 2.73

Output
- total moment (μB/cell) = 0.0
- mass density (Mg/m³) = 4.14
- calculated total energy (eV/atom) = -1.352

---

Record 2
A geometry-optimized Mg12Zn3H5 structure, computed with PBE.

abc: 12.0436 12.0436 12.0436
angles: 109.47 109.47 109.47
With the nearest neighbours (Å) after each atom.
Fractional coordinates of all 80 atoms:
Zn1 0.2500 0.1250 0.3750  8 Mg 2.75-2.78
Zn2 0.8750 0.1250 0.2500  8 Mg 2.75-2.78
Zn3 0.3750 0.7500 0.6250  8 Mg 2.75-2.78
Zn4 0.1250 0.8750 0.7500  8 Mg 2.75-2.78
Zn5 0.7500 0.3750 0.1250  8 Mg 2.75-2.78
Zn6 0.6250 0.2500 0.3750  8 Mg 2.75-2.78
Zn7 0.2500 0.6250 0.8750  8 Mg 2.75-2.78
Zn8 0.6250 0.3750 0.7500  8 Mg 2.75-2.78
Zn9 0.1250 0.2500 0.8750  8 Mg 2.75-2.78
Zn10 0.3750 0.6250 0.2500  8 Mg 2.75-2.78
Zn11 0.8750 0.7500 0.1250  8 Mg 2.75-2.78
Zn12 0.7500 0.8750 0.6250  8 Mg 2.75-2.78
Mg1 0.7937 0.3120 0.9076  1 H 2.00
Mg2 0.0957 0.1880 0.4818  1 H 2.00
Mg3 0.5924 0.7063 0.6880  1 H 2.00
Mg4 0.6139 0.5957 0.9076  1 H 2.00
Mg5 0.9818 0.5957 0.1880  1 H 2.00
Mg6 0.8120 0.9076 0.2937  1 H 2.00
Mg7 0.7063 0.5924 0.1880  1 H 2.00
Mg8 0.3120 0.7937 0.4076  1 H 2.00
Mg9 0.6880 0.4818 0.5957  1 H 2.00
Mg10 0.4076 0.2937 0.3120  1 H 2.00
Mg11 0.2063 0.6880 0.0924  1 H 2.00
Mg12 0.9076 0.0957 0.6139  1 H 2.00
Mg13 0.9818 0.3861 0.2937  1 H 2.00
Mg14 0.8861 0.5924 0.9043  1 H 2.00
Mg15 0.3120 0.5182 0.4043  1 H 2.00
Mg16 0.9076 0.8120 0.7937  1 H 2.00
Mg17 0.8120 0.9043 0.0182  1 H 2.00
Mg18 0.2937 0.4076 0.8120  1 H 2.00
Mg19 0.2937 0.8861 0.9818  1 H 2.00
Mg20 0.4043 0.0182 0.3120  1 H 2.00
Mg21 0.5924 0.8861 0.4043  1 H 2.00
Mg22 0.4076 0.1139 0.5957  1 H 2.00
Mg23 0.1139 0.7063 0.5182  1 H 2.00
Mg24 0.2063 0.5182 0.6139  1 H 2.00
Mg25 0.7937 0.4818 0.3861  1 H 2.00
Mg26 0.1880 0.0957 0.9818  1 H 2.00
Mg27 0.4818 0.6880 0.0957  1 H 2.00
Mg28 0.6139 0.0182 0.2063  1 H 2.00
Mg29 0.5957 0.6139 0.4076  1 H 2.00
Mg30 0.9043 0.0924 0.8861  1 H 2.00
Mg31 0.7063 0.1139 0.0182  1 H 2.00
Mg32 0.0957 0.9076 0.1139  1 H 2.00
Mg33 0.0924 0.9043 0.3861  1 H 2.00
Mg34 0.6880 0.2063 0.5924  1 H 2.00
Mg35 0.3861 0.9818 0.7937  1 H 2.00
Mg36 0.0924 0.1880 0.2063  1 H 2.00
Mg37 0.5957 0.9818 0.6880  1 H 2.00
Mg38 0.0182 0.6139 0.7063  1 H 2.00
Mg39 0.3861 0.4043 0.0924  1 H 2.00
Mg40 0.4818 0.7937 0.8861  1 H 2.00
Mg41 0.5182 0.3120 0.9043  1 H 2.00
Mg42 0.1139 0.4076 0.0957  1 H 2.00
Mg43 0.0182 0.4043 0.8120  1 H 2.00
Mg44 0.1880 0.0924 0.7063  1 H 2.00
Mg45 0.5182 0.2063 0.1139  1 H 2.00
Mg46 0.4043 0.3861 0.5924  1 H 2.00
Mg47 0.8861 0.2937 0.4818  1 H 2.00
Mg48 0.9043 0.8120 0.5182  1 H 2.00
H1 0.0000 0.0000 0.0000  6 Mg 2.29
H2 0.0000 0.5000 0.5000  6 Mg 2.29
H3 0.7500 0.1250 0.8750  4 Mg 2.00
H4 0.1250 0.7500 0.3750  4 Mg 2.00
H5 0.6250 0.7500 0.8750  4 Mg 2.00
H6 0.5000 0.0000 0.5000  6 Mg 2.29
H7 0.6250 0.8750 0.2500  4 Mg 2.00
H8 0.2500 0.8750 0.1250  4 Mg 2.00
H9 0.5000 0.0000 0.0000  6 Mg 2.29
H10 0.3750 0.2500 0.1250  4 Mg 2.00
H11 0.1250 0.3750 0.2500  4 Mg 2.00
H12 0.7500 0.6250 0.3750  4 Mg 2.00
H13 0.3750 0.1250 0.7500  4 Mg 2.00
H14 0.2500 0.3750 0.6250  4 Mg 2.00
H15 0.8750 0.6250 0.7500  4 Mg 2.00
H16 0.0000 0.0000 0.5000  6 Mg 2.29
H17 0.0000 0.5000 0.0000  6 Mg 2.29
H18 0.5000 0.5000 0.5000  6 Mg 2.29
H19 0.8750 0.2500 0.6250  4 Mg 2.00
H20 0.5000 0.5000 0.0000  6 Mg 2.29

Output
- total moment (μB/cell) = 0.0
- mass density (Mg/m³) = 2.43
- calculated total energy (eV/atom) = -1.946

---

Record 3
A geometry-optimized Mg2ZnH structure, computed with PBE.

abc: 6.2280 6.2280 5.5190
angles: 55.65 55.65 90.00
With the nearest neighbours (Å) after each atom.
Fractional coordinates of all 8 atoms:
Mg1 0.3750 0.4698 0.7500  2 H 2.01
Mg2 0.5302 0.1250 0.2500  2 H 2.01
Mg3 0.2198 0.6250 0.2500  2 H 2.01
Mg4 0.8750 0.7802 0.7500  2 H 2.01
Zn1 0.0000 0.0000 0.0000  8 Mg 2.78-3.10
Zn2 0.7500 0.2500 0.5000  8 Mg 2.78-3.10
H1 0.5000 0.5000 0.0000  4 Mg 2.01
H2 0.2500 0.7500 0.5000  4 Mg 2.01

Output
- total moment (μB/cell) = 0.0
- mass density (Mg/m³) = 2.96
- calculated total energy (eV/atom) = -1.875

---

Record 4
A geometry-optimized MgZnH2 structure, computed with PBE.

abc: 3.9264 3.9264 3.9264
angles: 60.00 60.00 60.00
With the nearest neighbours (Å) after each atom.
Fractional coordinates of all 4 atoms:
Mg1 0.0000 0.0000 0.0000  8 H 2.40
H1 0.2500 0.2500 0.2500  4 Mg 2.40, 4 Zn 2.40
H2 0.7500 0.7500 0.7500  4 Zn 2.40, 4 Mg 2.40
Zn1 0.5000 0.5000 0.5000  8 H 2.40

Output
- total moment (μB/cell) = 0.0
- mass density (Mg/m³) = 3.56
- calculated total energy (eV/atom) = -1.991

---

Record 5
A geometry-optimized MgZn2H6 structure, computed with PBE.

abc: 5.1872 6.3449 6.3449
angles: 85.15 76.22 76.22
With the nearest neighbours (Å) after each atom.
Fractional coordinates of all 18 atoms:
H1 0.8561 0.1844 0.0310  1 Zn 1.69
H2 0.3561 0.0310 0.1844  1 Zn 1.69
H3 0.1439 0.8156 0.9690  1 Zn 1.69
H4 0.8357 0.9152 0.3777  1 Zn 1.62
H5 0.4729 0.3441 0.3987  2 Zn 1.66-1.67
H6 0.5271 0.6559 0.6013  2 Zn 1.66-1.67
H7 0.6643 0.6223 0.0848  1 Zn 1.62
H8 0.6439 0.9690 0.8156  1 Zn 1.69
H9 0.1643 0.0848 0.6223  1 Zn 1.62
H10 0.0271 0.6013 0.6559  2 Zn 1.66-1.67
H11 0.9729 0.3987 0.3441  2 Zn 1.66-1.67
H12 0.3357 0.3777 0.9152  1 Zn 1.62
Zn1 0.2630 0.6119 0.7919  4 H 1.62-1.69
Zn2 0.7370 0.3881 0.2081  4 H 1.62-1.69
Zn3 0.7630 0.7919 0.6119  4 H 1.62-1.69
Zn4 0.2370 0.2081 0.3881  4 H 1.62-1.69
Mg1 0.7500 0.8898 0.1102  6 H 1.88-2.06
Mg2 0.2500 0.1102 0.8898  6 H 1.88-2.06

Output
- total moment (μB/cell) = 0.0
- mass density (Mg/m³) = 2.72
- calculated total energy (eV/atom) = -2.693

---

Record 6
A geometry-optimized MgZn2H structure, computed with PBE.

abc: 4.7852 4.7852 6.6978
angles: 69.07 69.07 90.00
With the nearest neighbours (Å) after each atom.
Fractional coordinates of all 8 atoms:
H1 0.5000 0.5000 0.0000  4 Zn 1.88
H2 0.2500 0.7500 0.5000  4 Zn 1.88
Zn1 0.3938 0.1250 0.2500  2 H 1.88
Zn2 0.3750 0.6062 0.7500  2 H 1.88
Zn3 0.3562 0.6250 0.2500  2 H 1.88
Zn4 0.8750 0.6438 0.7500  2 H 1.88
Mg1 0.7500 0.2500 0.5000  8 Zn 2.97-3.11
Mg2 0.0000 0.0000 0.0000  8 Zn 2.97-3.11

Output
- total moment (μB/cell) = 0.0
- mass density (Mg/m³) = 3.92
- calculated total energy (eV/atom) = -1.584

---

Record 7
A geometry-optimized Mg3ZnH structure, computed with PBE.

abc: 4.3392 4.3392 4.3392
angles: 90.00 90.00 90.00
With the nearest neighbours (Å) after each atom.
Fractional coordinates of all 5 atoms:
Mg1 0.0000 0.0000 0.5000  2 H 2.17
Mg2 0.0000 0.5000 0.0000  2 H 2.17
Mg3 0.5000 0.0000 0.0000  2 H 2.17
H1 0.0000 0.0000 0.0000  6 Mg 2.17
Zn1 0.5000 0.5000 0.5000  12 Mg 3.07

Output
- total moment (μB/cell) = 0.0
- mass density (Mg/m³) = 2.83
- calculated total energy (eV/atom) = -1.849

---

Record 8
A geometry-optimized MgZnH2 structure, computed with PBE.

abc: 4.1529 4.1529 6.0435
angles: 69.90 69.90 90.00
With the nearest neighbours (Å) after each atom.
Fractional coordinates of all 8 atoms:
H1 0.6875 0.1250 0.2500  2 Zn 1.85
H2 0.0625 0.6250 0.2500  2 Zn 1.85
H3 0.3750 0.3125 0.7500  2 Zn 1.85
H4 0.8750 0.9375 0.7500  2 Zn 1.85
Mg1 0.2500 0.7500 0.5000  4 H 2.12
Mg2 0.5000 0.5000 0.0000  4 H 2.12
Zn1 0.0000 0.0000 0.0000  4 H 1.85
Zn2 0.7500 0.2500 0.5000  4 H 1.85

Output
- total moment (μB/cell) = 0.0
- mass density (Mg/m³) = 3.34
- calculated total energy (eV/atom) = -2.135

---

Record 9
A geometry-optimized MgZnH structure, computed with PBE.

abc: 3.3418 7.2821 3.2621
angles: 90.00 90.00 90.00
With the nearest neighbours (Å) after each atom.
Fractional coordinates of all 6 atoms:
H1 0.5000 0.9989 0.5000  4 Mg 2.00-2.03
H2 0.0000 0.0011 0.0000  4 Mg 2.00-2.03
Mg1 0.0000 0.8412 0.5000  4 H 2.00-2.03
Mg2 0.5000 0.1588 0.0000  4 H 2.00-2.03
Zn1 0.5000 0.5848 0.0000  4 Zn 2.64
Zn2 0.0000 0.4152 0.5000  4 Zn 2.64

Output
- total moment (μB/cell) = 0.0
- mass density (Mg/m³) = 3.80
- calculated total energy (eV/atom) = -2.108

---

Record 10
A geometry-optimized MgZn2H2 structure, computed with PBE.

abc: 3.8141 3.8141 4.9177
angles: 67.18 67.18 90.00
With the nearest neighbours (Å) after each atom.
Fractional coordinates of all 5 atoms:
Mg1 0.0000 0.0000 0.0000  8 H 2.80, 10 Zn 2.83-2.99
Zn1 0.3439 0.3439 0.3122  4 H 2.06
Zn2 0.6561 0.6561 0.6878  4 H 2.06
H1 0.2500 0.7500 0.5000  4 Zn 2.06
H2 0.7500 0.2500 0.5000  4 Zn 2.06

Output
- total moment (μB/cell) = 0.0
- mass density (Mg/m³) = 4.36
- calculated total energy (eV/atom) = -1.847

---

Record 11
A geometry-optimized Mg3ZnH structure, computed with PBE.

abc: 5.0286 5.0286 5.0286
angles: 90.00 90.00 90.00
With the nearest neighbours (Å) after each atom.
Fractional coordinates of all 5 atoms:
Mg1 0.0000 0.5000 0.0000  2 Zn 2.51
Mg2 0.0000 0.0000 0.5000  2 Zn 2.51
Mg3 0.5000 0.0000 0.0000  2 Zn 2.51
H1 0.5000 0.5000 0.5000  12 Mg 3.56
Zn1 0.0000 0.0000 0.0000  6 Mg 2.51

Output
- total moment (μB/cell) = 0.2
- mass density (Mg/m³) = 1.82
- calculated total energy (eV/atom) = -1.332

---

Record 12
A geometry-optimized MgZnH structure, computed with PBE.

abc: 3.0204 3.0235 10.6160
angles: 90.00 81.65 59.96
With the nearest neighbours (Å) after each atom.
Fractional coordinates of all 6 atoms:
Zn1 0.7685 0.8657 0.1003  9 Zn 2.72-3.02, 3 Mg 2.88
Zn2 0.2315 0.1343 0.8997  9 Zn 2.72-3.02, 3 Mg 2.88
Mg1 0.2892 0.6052 0.3192  3 H 1.97
Mg2 0.7108 0.3948 0.6808  3 H 1.97
H1 0.8971 0.3013 0.4068  3 Mg 1.97
H2 0.1029 0.6987 0.5932  3 Mg 1.97

Output
- total moment (μB/cell) = 0.0
- mass density (Mg/m³) = 3.64
- calculated total energy (eV/atom) = -2.067

---

- Among the records above, which one has the highest calculated total energy?
  number 11

---

What did the eighth record say?
A geometry-optimized MgZnH2 structure, computed with PBE.

abc: 4.1529 4.1529 6.0435
angles: 69.90 69.90 90.00
With the nearest neighbours (Å) after each atom.
Fractional coordinates of all 8 atoms:
H1 0.6875 0.1250 0.2500  2 Zn 1.85
H2 0.0625 0.6250 0.2500  2 Zn 1.85
H3 0.3750 0.3125 0.7500  2 Zn 1.85
H4 0.8750 0.9375 0.7500  2 Zn 1.85
Mg1 0.2500 0.7500 0.5000  4 H 2.12
Mg2 0.5000 0.5000 0.0000  4 H 2.12
Zn1 0.0000 0.0000 0.0000  4 H 1.85
Zn2 0.7500 0.2500 0.5000  4 H 1.85

Output
- total moment (μB/cell) = 0.0
- mass density (Mg/m³) = 3.34
- calculated total energy (eV/atom) = -2.135

---

- calculated total energy of number 10 (MgZn2H2)?
  -1.847 eV/atom